# 1
First-principles (GGA-PBEsol) data for an optimized crystal structure of BaMgN3, as listed in Alexandria.

Unit cell a=4.525 b=4.525 c=4.525 alpha=90.00 beta=90.00 gamma=90.00
Positions (direct):
Ba  0.000  0.000  0.000
Mg  0.500  0.500  0.500
N  0.000  0.000  0.500
N  0.000  0.500  0.000
N  0.500  0.000  0.000

Output
DOS at the Fermi energy, states/eV per cell: 4.00
SG: Pm-3m (221)
Mass density, Mg/m³: 3.650
Formation energy from raw total energies, kJ per mole of atoms: 185.7
E_tot, eV/atom: -3.9646


# 2
First-principles (GGA-PBEsol) data for an optimized crystal structure of K2SnHgTe4, as listed in Alexandria.

Unit cell a=7.027 b=7.027 c=7.027 alpha=105.41 beta=105.41 gamma=117.95
Positions (direct):
K  0.000  0.500  0.500
K  0.500  0.000  0.500
Sn  0.000  0.000  0.000
Hg  0.500  0.500  0.000
Te  0.060  0.060  0.639
Te  0.421  0.421  0.361
Te  0.579  0.940  0.000
Te  0.940  0.579  0.000

Output
SG: I-42m (121)
Mass density, Mg/m³: 5.739
Formation energy from raw total energies, kJ per mole of atoms: -52.5
E_tot, eV/atom: -3.1934


# 3
First-principles (GGA-PBEsol) data for an optimized crystal structure of TlCdSiHg2, as listed in Alexandria.

Unit cell a=5.059 b=5.059 c=5.323 alpha=90.00 beta=90.00 gamma=90.00
Positions (direct):
Tl  0.000  0.000  0.000
Cd  0.500  0.500  0.000
Si  0.000  0.000  0.500
Hg  0.000  0.500  0.500
Hg  0.500  0.000  0.500

Output
DOS at the Fermi energy, states/eV per cell: 1.35
SG: P4/mmm (123)
Mass density, Mg/m³: 9.092
Formation energy from raw total energies, kJ per mole of atoms: 29.4
E_tot, eV/atom: -1.8370


# 4
First-principles (GGA-PBEsol) data for an optimized crystal structure of BaScRh, as listed in Alexandria.

Unit cell a=4.100 b=4.100 c=6.080 alpha=90.00 beta=90.00 gamma=120.00
Positions (direct):
Ba  0.000  0.000  0.000
Sc  0.667  0.333  0.484
Rh  0.333  0.667  0.330

Output
Formation energy from the elements, meV per atom: -174
DOS at the Fermi energy, states/eV per cell: 1.40
SG: P3m1 (156)
Mass density, Mg/m³: 5.350
E_tot, eV/atom: -5.8047


# 5
First-principles (GGA-PBEsol) data for an optimized crystal structure of CdCo2Rh, as listed in Alexandria.

Unit cell a=4.358 b=4.358 c=2.794 alpha=90.00 beta=90.00 gamma=90.00
Positions (direct):
Cd  0.000  0.000  0.000
Co  0.000  0.500  0.500
Co  0.500  0.000  0.500
Rh  0.500  0.500  0.000

Output
Formation energy from the elements, meV per atom: 341
DOS at the Fermi energy, states/eV per cell: 6.99
SG: P4/mmm (123)
Mass density, Mg/m³: 10.429
E_tot, eV/atom: -5.8617


# 6
First-principles (GGA-PBEsol) data for an optimized crystal structure of Ni3O4, as listed in Alexandria.

Unit cell a=4.881 b=4.881 c=2.848 alpha=90.00 beta=90.00 gamma=106.95
Positions (direct):
Ni  0.000  0.000  0.000
Ni  0.000  0.500  0.500
Ni  0.500  0.000  0.500
O  0.214  0.214  0.500
O  0.237  0.763  0.000
O  0.763  0.237  0.000
O  0.786  0.786  0.500

Output
DOS at the Fermi energy, states/eV per cell: 4.59
SG: Cmmm (65)
Mass density, Mg/m³: 6.142
Formation energy from raw total energies, kJ per mole of atoms: -65.9
E_tot, eV/atom: -6.3214